# Tm4CdSbC2

Tm4CdSbC2 after structural relaxation (GGA-PBE, OQMD via LeMat-Bulk).

Lattice parameters (Å, degrees): 3.559 3.559 15.591 90.00 90.00 120.00
Fractional coordinates of all 8 atoms:
Tm 0.000 0.000 0.159
Tm 0.000 0.000 0.841
Tm 0.333 0.667 0.327
Tm 0.333 0.667 0.673
Cd 0.000 0.000 0.500
Sb 0.333 0.667 0.000
C 0.667 0.333 0.242
C 0.667 0.333 0.758

The total energy comes out at -45.5 eV/f.u. The value obtained for the total magnetization is 0.63 μB/cell.